The following is a DFT calculation (PBE) of a relaxed YMg2Tl crystal.

Lattice parameters (Å, degrees): 10.589 10.589 10.589 18.88 18.88 18.88
Atoms (fractional coordinates):
Y  0.000  0.000  0.000
Mg  0.245  0.245  0.245
Mg  0.755  0.755  0.755
Tl  0.500  0.500  0.500

Crystal system ... trigonal
D(E_F) ... 0.614 states/eV per atom
Energy above the most stable polymorph in this dataset ... 0.231 eV/atom
ΔE_f ... 0.0 eV per formula unit


The following is a DFT calculation (PBE) of a relaxed YMg2Tl2 crystal.

Lattice parameters (Å, degrees): 8.553 8.553 3.536 90.00 90.00 90.00
Atoms (fractional coordinates):
Y  0.000  0.000  0.000
Y  0.500  0.500  0.000
Mg  0.155  0.345  0.500
Mg  0.345  0.845  0.500
Mg  0.655  0.155  0.500
Mg  0.845  0.655  0.500
Tl  0.145  0.645  0.000
Tl  0.355  0.145  0.000
Tl  0.645  0.855  0.000
Tl  0.855  0.355  0.000

Crystal system ... tetragonal
D(E_F) ... 0.714 states/eV per atom
Energy above the most stable polymorph in this dataset ... 0.012 eV/atom
ΔE_f ... -0.6 eV per formula unit


The following is a DFT calculation (PBE) of a relaxed Y2MgTl crystal.

Lattice parameters (Å, degrees): 6.166 6.166 6.166 136.40 136.40 63.37
Atoms (fractional coordinates):
Y  0.000  0.000  0.000
Y  0.750  0.250  0.500
Mg  0.250  0.750  0.500
Tl  0.500  0.500  0.000

Crystal system ... tetragonal
D(E_F) ... 1.156 states/eV per atom
ΔE_f ... -0.6 eV per formula unit


The following is a DFT calculation (PBE) of a relaxed Y2Mg2Tl crystal.

Lattice parameters (Å, degrees): 7.443 7.443 4.882 90.00 90.00 90.00
Atoms (fractional coordinates):
Y  0.169  0.331  0.000
Y  0.331  0.831  0.000
Y  0.669  0.169  0.000
Y  0.831  0.669  0.000
Mg  0.134  0.634  0.500
Mg  0.366  0.134  0.500
Mg  0.634  0.866  0.500
Mg  0.866  0.366  0.500
Tl  0.000  0.000  0.500
Tl  0.500  0.500  0.500

Crystal system ... tetragonal
D(E_F) ... 1.114 states/eV per atom
Energy above the most stable polymorph in this dataset ... 0.071 eV/atom
ΔE_f ... -0.6 eV per formula unit


The following is a DFT calculation (PBE) of a relaxed Y3Mg2Tl4 crystal.

Lattice parameters (Å, degrees): 6.298 6.298 9.382 115.27 115.27 45.91
Atoms (fractional coordinates):
Y  0.000  0.000  0.000
Y  0.353  0.353  0.317
Y  0.647  0.647  0.683
Mg  0.345  0.345  0.670
Mg  0.655  0.655  0.330
Tl  0.054  0.054  0.376
Tl  0.309  0.309  0.953
Tl  0.691  0.691  0.047
Tl  0.946  0.946  0.624

Crystal system ... monoclinic
D(E_F) ... 0.602 states/eV per atom
ΔE_f ... -2.4 eV per formula unit


The following is a DFT calculation (PBE) of a relaxed YMg2Tl crystal.

Lattice parameters (Å, degrees): 6.446 6.446 3.293 102.92 102.92 121.06
Atoms (fractional coordinates):
Y  0.000  0.000  0.000
Mg  0.000  0.500  0.500
Mg  0.500  0.000  0.500
Tl  0.500  0.500  0.000

Crystal system ... monoclinic
D(E_F) ... 0.565 states/eV per atom
Energy above the most stable polymorph in this dataset ... 0.159 eV/atom
ΔE_f ... -0.3 eV per formula unit


The following is a DFT calculation (PBE) of a relaxed YMg2Tl crystal.

Lattice parameters (Å, degrees): 5.199 5.199 5.199 60.00 60.00 60.00
Atoms (fractional coordinates):
Y  0.000  0.000  0.000
Mg  0.250  0.250  0.250
Mg  0.750  0.750  0.750
Tl  0.500  0.500  0.500

Crystal system ... cubic
D(E_F) ... 0.412 states/eV per atom
Energy above the most stable polymorph in this dataset ... 0.207 eV/atom
ΔE_f ... -0.1 eV per formula unit


The following is a DFT calculation (PBE) of a relaxed Y2MgTl crystal.

Lattice parameters (Å, degrees): 7.294 7.294 7.294 152.99 134.26 53.93
Atoms (fractional coordinates):
Y  0.241  0.241  0.000
Y  0.759  0.759  0.000
Mg  0.500  0.500  0.000
Tl  0.000  0.000  0.000

Crystal system ... orthorhombic
D(E_F) ... 1.288 states/eV per atom
ΔE_f ... 1.2 eV per formula unit


The following is a DFT calculation (PBE) of a relaxed YMg2Tl2 crystal.

Lattice parameters (Å, degrees): 8.571 8.571 3.413 90.00 90.00 90.00
Atoms (fractional coordinates):
Y  0.000  0.000  0.000
Y  0.500  0.500  0.000
Mg  0.123  0.377  0.000
Mg  0.377  0.877  0.000
Mg  0.623  0.123  0.000
Mg  0.877  0.623  0.000
Tl  0.177  0.677  0.500
Tl  0.323  0.177  0.500
Tl  0.677  0.823  0.500
Tl  0.823  0.323  0.500

Crystal system ... tetragonal
D(E_F) ... 0.481 states/eV per atom
Energy above the most stable polymorph in this dataset ... 0.023 eV/atom
ΔE_f ... -0.5 eV per formula unit


The following is a DFT calculation (PBE) of a relaxed Y3Mg5Tl2 crystal.

Lattice parameters (Å, degrees): 9.803 9.803 9.803 100.55 91.13 142.86
Atoms (fractional coordinates):
Y  0.235  0.130  0.365
Y  0.250  0.250  0.000
Y  0.265  0.630  0.895
Y  0.735  0.370  0.105
Y  0.750  0.750  0.000
Y  0.765  0.870  0.635
Mg  0.150  0.388  0.538
Mg  0.250  0.507  0.257
Mg  0.250  0.750  0.500
Mg  0.250  0.993  0.743
Mg  0.350  0.888  0.239
Mg  0.650  0.112  0.761
Mg  0.750  0.007  0.257
Mg  0.750  0.250  0.500
Mg  0.750  0.493  0.743
Mg  0.850  0.612  0.462
Tl  0.152  0.861  0.013
Tl  0.348  0.361  0.709
Tl  0.652  0.639  0.291
Tl  0.848  0.139  0.987

Crystal system ... orthorhombic
D(E_F) ... 0.722 states/eV per atom
ΔE_f ... -0.6 eV per formula unit


The following is a DFT calculation (PBE) of a relaxed YMg2Tl crystal.

Lattice parameters (Å, degrees): 3.418 5.081 6.059 90.00 99.47 90.00
Atoms (fractional coordinates):
Y  0.000  0.000  0.000
Mg  0.387  0.500  0.745
Mg  0.613  0.500  0.255
Tl  0.500  0.000  0.500

Crystal system ... monoclinic
D(E_F) ... 0.669 states/eV per atom
Energy above the most stable polymorph in this dataset ... 0.126 eV/atom
ΔE_f ... -0.4 eV per formula unit


The following is a DFT calculation (PBE) of a relaxed YMg2Tl crystal.

Lattice parameters (Å, degrees): 5.797 5.797 3.431 90.00 90.00 112.12
Atoms (fractional coordinates):
Y  0.000  0.000  0.000
Mg  0.000  0.500  0.500
Mg  0.500  0.000  0.500
Tl  0.500  0.500  0.000

Crystal system ... orthorhombic
D(E_F) ... 0.630 states/eV per atom
Energy above the most stable polymorph in this dataset ... 0.156 eV/atom
ΔE_f ... -0.3 eV per formula unit


The following is a DFT calculation (PBE) of a relaxed YMg6Tl4 crystal.

Lattice parameters (Å, degrees): 8.144 8.144 8.144 145.29 77.69 113.02
Atoms (fractional coordinates):
Y  0.000  0.000  0.000
Mg  0.226  0.346  0.880
Mg  0.357  0.634  0.724
Mg  0.467  0.346  0.120
Mg  0.664  0.290  0.374
Mg  0.910  0.634  0.276
Mg  0.915  0.290  0.626
Tl  0.220  0.963  0.257
Tl  0.223  0.723  0.500
Tl  0.639  0.639  0.000
Tl  0.706  0.963  0.743

Crystal system ... orthorhombic
D(E_F) ... 0.551 states/eV per atom
ΔE_f ... -0.7 eV per formula unit


The following is a DFT calculation (PBE) of a relaxed YMg2Tl crystal.

Lattice parameters (Å, degrees): 6.728 6.728 6.728 102.51 102.51 124.53
Atoms (fractional coordinates):
Y  0.000  0.000  0.000
Y  0.750  0.250  0.500
Mg  0.159  0.625  0.034
Mg  0.375  0.409  0.534
Mg  0.591  0.125  0.966
Mg  0.875  0.841  0.466
Tl  0.250  0.750  0.500
Tl  0.500  0.500  0.000

Crystal system ... tetragonal
D(E_F) ... 0.620 states/eV per atom
Energy above the most stable polymorph in this dataset ... 0.283 eV/atom
ΔE_f ... 0.2 eV per formula unit


The following is a DFT calculation (PBE) of a relaxed YMgTl6 crystal.

Lattice parameters (Å, degrees): 6.824 6.824 4.767 90.00 90.00 94.61
Atoms (fractional coordinates):
Y  0.000  0.000  0.000
Mg  0.500  0.500  0.000
Tl  0.000  0.500  0.000
Tl  0.239  0.761  0.500
Tl  0.265  0.265  0.500
Tl  0.500  0.000  0.000
Tl  0.735  0.735  0.500
Tl  0.761  0.239  0.500

Crystal system ... orthorhombic
D(E_F) ... 0.540 states/eV per atom
ΔE_f ... -0.6 eV per formula unit


The following is a DFT calculation (PBE) of a relaxed Y8MgTl2 crystal.

Lattice parameters (Å, degrees): 8.711 8.711 5.614 101.99 101.99 118.17
Atoms (fractional coordinates):
Y  0.096  0.327  0.613
Y  0.218  0.782  0.000
Y  0.327  0.096  0.613
Y  0.398  0.398  0.197
Y  0.602  0.602  0.803
Y  0.673  0.904  0.387
Y  0.782  0.218  0.000
Y  0.904  0.673  0.387
Mg  0.000  0.000  0.000
Tl  0.305  0.695  0.500
Tl  0.695  0.305  0.500

Crystal system ... monoclinic
D(E_F) ... 1.363 states/eV per atom
Energy above the most stable polymorph in this dataset ... 0.117 eV/atom
ΔE_f ... -0.4 eV per formula unit


The following is a DFT calculation (PBE) of a relaxed YMg3Tl4 crystal.

Lattice parameters (Å, degrees): 5.066 5.066 7.856 90.00 90.00 90.00
Atoms (fractional coordinates):
Y  0.000  0.000  0.000
Mg  0.000  0.000  0.500
Mg  0.500  0.500  0.000
Mg  0.500  0.500  0.500
Tl  0.000  0.500  0.261
Tl  0.000  0.500  0.739
Tl  0.500  0.000  0.261
Tl  0.500  0.000  0.739

Crystal system ... tetragonal
D(E_F) ... 0.288 states/eV per atom
ΔE_f ... -1.1 eV per formula unit


The following is a DFT calculation (PBE) of a relaxed YMg2Tl2 crystal.

Lattice parameters (Å, degrees): 5.034 5.034 13.092 90.00 90.00 120.00
Atoms (fractional coordinates):
Y  0.000  0.000  0.250
Y  0.000  0.000  0.750
Mg  0.000  0.000  0.000
Mg  0.000  0.000  0.500
Mg  0.333  0.667  0.250
Mg  0.667  0.333  0.750
Tl  0.333  0.667  0.619
Tl  0.333  0.667  0.881
Tl  0.667  0.333  0.119
Tl  0.667  0.333  0.381

Crystal system ... hexagonal
D(E_F) ... 0.580 states/eV per atom
Energy above the most stable polymorph in this dataset ... 0.274 eV/atom
ΔE_f ... 0.7 eV per formula unit


The following is a DFT calculation (PBE) of a relaxed Y2MgTl crystal.

Lattice parameters (Å, degrees): 3.529 3.529 9.027 90.00 90.00 90.00
Atoms (fractional coordinates):
Y  0.000  0.000  0.000
Y  0.500  0.500  0.283
Mg  0.000  0.000  0.537
Tl  0.500  0.500  0.749

Crystal system ... tetragonal
D(E_F) ... 0.838 states/eV per atom
ΔE_f ... -0.6 eV per formula unit


The following is a DFT calculation (PBE) of a relaxed YMg15Tl4 crystal.

Lattice parameters (Å, degrees): 4.757 4.757 20.976 90.00 90.00 90.00
Atoms (fractional coordinates):
Y  0.000  0.000  0.000
Mg  0.000  0.500  0.106
Mg  0.000  0.500  0.303
Mg  0.000  0.500  0.500
Mg  0.000  0.500  0.697
Mg  0.000  0.500  0.894
Mg  0.500  0.000  0.106
Mg  0.500  0.000  0.303
Mg  0.500  0.000  0.500
Mg  0.500  0.000  0.697
Mg  0.500  0.000  0.894
Mg  0.500  0.500  0.000
Mg  0.500  0.500  0.207
Mg  0.500  0.500  0.400
Mg  0.500  0.500  0.600
Mg  0.500  0.500  0.793
Tl  0.000  0.000  0.202
Tl  0.000  0.000  0.402
Tl  0.000  0.000  0.598
Tl  0.000  0.000  0.798

Crystal system ... tetragonal
D(E_F) ... 0.569 states/eV per atom
ΔE_f ... -0.7 eV per formula unit